No. 1
Li3BiH8O7 after structural relaxation, computed with PBEsol.

Lattice parameters (Å, degrees): 6.2653 6.8313 8.1760 98.81 84.24 114.50
Fractional coordinates of all 38 atoms:
Li 0.1810 0.1243 0.5858
Li 0.3467 0.8536 0.3985
Li 0.6533 0.1464 0.6015
Li 0.9610 0.6745 0.6298
Li 0.0390 0.3255 0.3702
Li 0.8190 0.8757 0.4142
O 0.5537 0.3700 0.5815
O 0.9035 0.6401 0.8964
O 0.3098 0.9079 0.6423
O 0.6850 0.8776 0.0472
O 0.2276 0.7873 0.1143
O 0.0965 0.3599 0.1036
O 0.1787 0.0992 0.3533
O 0.7724 0.2127 0.8857
O 0.0640 0.3718 0.6203
O 0.4463 0.6300 0.4185
O 0.9360 0.6282 0.3797
O 0.6902 0.0921 0.3577
O 0.3150 0.1224 0.9528
O 0.8213 0.9008 0.6467
H 0.2974 0.9790 0.7570
H 0.3949 0.8080 0.0863
H 0.6051 0.1920 0.9137
H 0.9714 0.3353 0.7261
H 0.0286 0.6647 0.2739
H 0.0412 0.6985 0.9742
H 0.1618 0.5226 0.1037
H 0.7026 0.0210 0.2430
H 0.8185 0.0040 0.7460
H 0.8382 0.4774 0.8963
H 0.7318 0.0032 0.9796
H 0.7621 0.7785 0.9907
H 0.2682 0.9968 0.0204
H 0.9588 0.3015 0.0258
H 0.2379 0.2215 0.0093
H 0.1815 0.9960 0.2540
Bi 0.4328 0.6296 0.6798
Bi 0.5672 0.3704 0.3202

Values from the calculation:
density of states at the Fermi level: 0.0 states/eV/cell
final energy: -5.1750 eV per atom
symmetry: P-1 (2)

=====

No. 2
LiBi2HPd after structural relaxation, computed with PBEsol.

Lattice parameters (Å, degrees): 3.4581 5.1762 5.1762 90.00 90.00 90.00
Fractional coordinates of all 5 atoms:
H 0.0000 0.0000 0.0000
Bi 0.0000 0.5000 0.0000
Bi 0.0000 0.0000 0.5000
Li 0.5000 0.5000 0.5000
Pd 0.5000 0.0000 0.0000

Values from the calculation:
density of states at the Fermi level: 1.5 states/eV/cell
final energy: -4.1207 eV per atom
symmetry: P4/mmm (123)